Record 1
Computed, not measured: a relaxed structure of K2Zn at the PBE level of DFT.

Density of states at the Fermi level, states/eV per atom: 0.5550
ΔH_f (0 K), kJ/mol of formula units: 31
Electronic total energy, eV per atom: -1.048

Lattice parameters (Å, degrees): 9.060 9.060 8.080 74.96 74.96 26.14
Positions (direct):
K (0.848, 0.848, 0.095)
K (0.114, 0.114, 0.434)
K (0.152, 0.152, 0.905)
K (0.886, 0.886, 0.566)
Zn (0.498, 0.498, 0.837)
Zn (0.502, 0.502, 0.163)

=====

Record 2
Computed, not measured: a relaxed structure of LaMg2Fe at the PBE level of DFT.

Density of states at the Fermi level, states/eV per atom: 0.9234
ΔH_f (0 K), kJ/mol of formula units: 155
Electronic total energy, eV per atom: -3.743

Lattice parameters (Å, degrees): 5.920 5.920 3.064 90.00 90.00 122.37
Positions (direct):
Fe (0.500, 0.000, 0.500)
La (0.000, 0.500, 0.500)
Mg (0.000, 0.000, 0.000)
Mg (0.500, 0.500, 0.000)

=====

Record 3
Computed, not measured: a relaxed structure of MoRu at the PBE level of DFT.

Density of states at the Fermi level, states/eV per atom: 0.7623
ΔH_f (0 K), kJ/mol of formula units: 18
Electronic total energy, eV per atom: -9.959

Lattice parameters (Å, degrees): 2.736 4.494 4.855 90.00 90.00 90.00
Positions (direct):
Mo (0.000, 0.000, 0.022)
Mo (0.500, 0.500, 0.811)
Ru (0.000, 0.500, 0.322)
Ru (0.500, 0.000, 0.511)

=====

Record 4
Computed, not measured: a relaxed structure of CrMoP2S at the PBE level of DFT.

Formation energy (no corrections), eV per atom: 0.7351
Density of states at the Fermi level, states/eV per atom: 0.4580
Electronic total energy, eV per atom: -6.345

Lattice parameters (Å, degrees): 4.382 4.382 4.651 90.00 90.00 90.00
Positions (direct):
Cr (0.000, 0.000, 0.000)
Mo (0.500, 0.500, 0.500)
S (0.000, 0.000, 0.500)
P (0.000, 0.500, 0.000)
P (0.500, 0.000, 0.000)

=====

It is found that the size of the total moment values, taken in the order of the records, are 0.00 1.78 0.00 4.49 Bohr magnetons per cell.